A geometry-optimized Na3ScW structure. Source: the Alexandria database, functional PBEsol.

abc: 5.502 5.502 5.502
angles: 90.00 90.00 90.00
Element x y z (fractional)
Sc: 0.000 0.000 0.000
Na: 0.000 0.500 0.000
Na: 0.000 0.000 0.500
Na: 0.500 0.000 0.000
W: 0.500 0.500 0.500

Properties
- formation energy (meV/atom) = 2261
- total DFT energy (no corrections) (eV per cell) = -13.305